Entry from Alexandria: a relaxed structure of TbErCu2 (PBE).

Cell and atoms, written as POSCAR:
```
TbErCu2
1.0
4.895 0.000 0.000
2.447 4.239 0.000
2.447 1.413 3.996
Tb Cu Er
1 2 1
Direct
0.000 0.000 0.000 Tb
0.250 0.250 0.250 Cu
0.750 0.750 0.750 Cu
0.500 0.500 0.500 Er
```

Calculated values
- Density of states at the Fermi level: 0.593 states/eV per atom
- E_form: -256 meV/atom
- Size of the total moment: 0.0 μB/cell
- Theoretical density: 9.08 Mg/m³
- Excess energy over the best structure of this formula in the dataset: 0.0050 eV per atom